First-principles (GGA-PBE) data for GaPtS2N after structural relaxation, as listed in the Alexandria database. Values from VASP.

Values from the calculation:
**Distance to the lowest polymorph of the same formula**: 0.000 eV per atom
**Magnetic moment**: 0.0 μB/f.u.
**Space-group type**: P4/mmm (123)
**Raw formation energy**: 2.8 eV/f.u.
**Fermi-level density of states**: 3.82 states/eV/cell

The structure in Quantum ESPRESSO input format:
```
&SYSTEM
  ibrav = 0, nat = 5, ntyp = 4
/
ATOMIC_SPECIES
Ga 69.72 Ga.upf
N 14.01 N.upf
S 32.06 S.upf
Pt 195.08 Pt.upf
ATOMIC_POSITIONS crystal
Ga 0.500 0.500 0.500
N 0.000 0.000 0.500
S 0.500 0.000 0.000
S 0.000 0.500 0.000
Pt 0.000 0.000 0.000
CELL_PARAMETERS angstrom
-4.463 1.635 1.574
-0.367 -3.947 3.059
1.644 1.917 2.671
```


First-principles (GGA-PBE) data for GaPtSN2 after structural relaxation, as listed in the Alexandria database. Values from VASP.

Values from the calculation:
**Distance to the lowest polymorph of the same formula**: 0.481 eV per atom
**Magnetic moment**: 3.3 μB/f.u.
**Space-group type**: P4/mmm (123)
**Raw formation energy**: 7.1 eV/f.u.
**Fermi-level density of states**: 2.87 states/eV/cell

The structure in Quantum ESPRESSO input format:
```
&SYSTEM
  ibrav = 0, nat = 5, ntyp = 4
/
ATOMIC_SPECIES
N 14.01 N.upf
S 32.06 S.upf
Ga 69.72 Ga.upf
Pt 195.08 Pt.upf
ATOMIC_POSITIONS crystal
N 0.000 0.500 0.000
N 0.500 0.000 0.000
S 0.000 0.000 0.500
Ga 0.000 0.000 0.000
Pt 0.500 0.500 0.500
CELL_PARAMETERS angstrom
-1.780 1.864 -2.711
-3.246 -0.493 1.792
0.771 4.617 2.668
```


First-principles (GGA-PBE) data for GaPtSe2N after structural relaxation, as listed in the Alexandria database. Values from VASP.

Values from the calculation:
**Distance to the lowest polymorph of the same formula**: 0.000 eV per atom
**Magnetic moment**: 0.0 μB/f.u.
**Space-group type**: P4/mmm (123)
**Raw formation energy**: 2.3 eV/f.u.
**Fermi-level density of states**: 4.49 states/eV/cell

The structure in Quantum ESPRESSO input format:
```
&SYSTEM
  ibrav = 0, nat = 5, ntyp = 4
/
ATOMIC_SPECIES
Se 78.96 Se.upf
N 14.01 N.upf
Ga 69.72 Ga.upf
Pt 195.08 Pt.upf
ATOMIC_POSITIONS crystal
Se 0.000 0.500 0.000
Se 0.500 0.000 0.000
N 0.000 0.000 0.500
Ga 0.500 0.500 0.500
Pt 0.000 0.000 0.000
CELL_PARAMETERS angstrom
-0.176 0.662 -5.254
-5.288 0.254 0.209
0.193 3.641 0.452
```


First-principles (GGA-PBE) data for GaPtSe2N after structural relaxation, as listed in the Alexandria database. Values from VASP.

Values from the calculation:
**Distance to the lowest polymorph of the same formula**: 0.465 eV per atom
**Magnetic moment**: 1.7 μB/f.u.
**Space-group type**: P4/mmm (123)
**Raw formation energy**: 4.6 eV/f.u.
**Fermi-level density of states**: 3.42 states/eV/cell

The structure in Quantum ESPRESSO input format:
```
&SYSTEM
  ibrav = 0, nat = 5, ntyp = 4
/
ATOMIC_SPECIES
Pt 195.08 Pt.upf
N 14.01 N.upf
Ga 69.72 Ga.upf
Se 78.96 Se.upf
ATOMIC_POSITIONS crystal
Pt 0.500 0.500 0.500
N 0.000 0.000 0.500
Ga 0.000 0.000 0.000
Se 0.000 0.500 0.000
Se 0.500 0.000 0.000
CELL_PARAMETERS angstrom
-3.671 -1.759 3.097
-1.572 -3.190 -3.676
2.214 -2.487 1.212
```


First-principles (GGA-PBE) data for GaPtSeN2 after structural relaxation, as listed in the Alexandria database. Values from VASP.

Values from the calculation:
**Distance to the lowest polymorph of the same formula**: 0.444 eV per atom
**Magnetic moment**: 2.5 μB/f.u.
**Space-group type**: P4/mmm (123)
**Raw formation energy**: 6.8 eV/f.u.
**Fermi-level density of states**: 2.97 states/eV/cell

The structure in Quantum ESPRESSO input format:
```
&SYSTEM
  ibrav = 0, nat = 5, ntyp = 4
/
ATOMIC_SPECIES
N 14.01 N.upf
Se 78.96 Se.upf
Ga 69.72 Ga.upf
Pt 195.08 Pt.upf
ATOMIC_POSITIONS crystal
N 0.500 0.000 0.000
N 0.000 0.500 0.000
Se 0.000 0.000 0.500
Ga 0.000 0.000 0.000
Pt 0.500 0.500 0.500
CELL_PARAMETERS angstrom
3.697 0.000 0.000
0.000 3.697 0.000
0.000 0.000 6.837
```


First-principles (GGA-PBE) data for GaPtSeN2 after structural relaxation, as listed in the Alexandria database. Values from VASP.

Values from the calculation:
**Distance to the lowest polymorph of the same formula**: 0.000 eV per atom
**Magnetic moment**: 0.0 μB/f.u.
**Space-group type**: P4/mmm (123)
**Raw formation energy**: 4.5 eV/f.u.
**Fermi-level density of states**: 1.67 states/eV/cell

The structure in Quantum ESPRESSO input format:
```
&SYSTEM
  ibrav = 0, nat = 5, ntyp = 4
/
ATOMIC_SPECIES
N 14.01 N.upf
Se 78.96 Se.upf
Pt 195.08 Pt.upf
Ga 69.72 Ga.upf
ATOMIC_POSITIONS crystal
N 0.000 0.500 0.000
N 0.500 0.000 0.000
Se 0.000 0.000 0.500
Pt 0.000 0.000 0.000
Ga 0.500 0.500 0.500
CELL_PARAMETERS angstrom
-0.404 -1.554 -3.383
3.385 -1.570 0.317
-3.637 -7.093 3.691
```


First-principles (GGA-PBE) data for Ga2PtSeN after structural relaxation, as listed in the Alexandria database. Values from VASP.

Values from the calculation:
**Magnetic moment**: 0.0 μB/f.u.
**Space-group type**: P4/mmm (123)
**Raw formation energy**: 0.9 eV/f.u.
**Fermi-level density of states**: 1.48 states/eV/cell

The structure in Quantum ESPRESSO input format:
```
&SYSTEM
  ibrav = 0, nat = 5, ntyp = 4
/
ATOMIC_SPECIES
N 14.01 N.upf
Ga 69.72 Ga.upf
Se 78.96 Se.upf
Pt 195.08 Pt.upf
ATOMIC_POSITIONS crystal
N 0.000 0.500 0.000
Ga 0.500 0.000 0.000
Ga 0.000 0.000 0.500
Se 0.500 0.500 0.500
Pt 0.000 0.000 0.000
CELL_PARAMETERS angstrom
5.129 0.000 0.000
0.000 3.704 0.000
0.000 0.000 5.129
```


First-principles (GGA-PBE) data for Sr2GaPtN after structural relaxation, as listed in the Alexandria database. Values from VASP.

Values from the calculation:
**Magnetic moment**: 0.0 μB/f.u.
**Space-group type**: P2_1/m (11)
**Raw formation energy**: -3.6 eV/f.u.
**Fermi-level density of states**: 2.77 states/eV/cell

The structure in Quantum ESPRESSO input format:
```
&SYSTEM
  ibrav = 0, nat = 10, ntyp = 4
/
ATOMIC_SPECIES
N 14.01 N.upf
Ga 69.72 Ga.upf
Sr 87.62 Sr.upf
Pt 195.08 Pt.upf
ATOMIC_POSITIONS crystal
N 0.750 0.175 0.172
N 0.250 0.825 0.828
Ga 0.250 0.529 0.731
Ga 0.750 0.471 0.269
Sr 0.750 0.786 0.032
Sr 0.250 0.163 0.375
Sr 0.250 0.214 0.968
Sr 0.750 0.837 0.625
Pt 0.750 0.339 0.695
Pt 0.250 0.661 0.305
CELL_PARAMETERS angstrom
-3.186 2.312 1.561
0.074 -3.687 5.613
5.356 6.699 1.008
```